(1)
{
  "formula": "Pr2Sn2O7",
  "functional": "meta-GGA SCAN",
  "state": "PBEsol geometry",
  "cell": [[0.000, 5.319, 5.319], [5.319, 0.000, 5.319], [5.319, 5.319, 0.000]],
  "species": ["Pr", "Pr", "Pr", "Pr", "Sn", "Sn", "Sn", "Sn", "O", "O", "O", "O", "O", "O", "O", "O", "O", "O", "O", "O", "O", "O"],
  "fractional_positions": [[0.000, 0.000, 0.000], [0.000, 0.000, 0.500], [0.000, 0.500, 0.000], [0.500, 0.000, 0.000], [0.000, 0.500, 0.500], [0.500, 0.000, 0.500], [0.500, 0.500, 0.000], [0.500, 0.500, 0.500], [0.125, 0.125, 0.125], [0.166, 0.166, 0.584], [0.166, 0.584, 0.166], [0.166, 0.584, 0.584], [0.416, 0.416, 0.834], [0.416, 0.834, 0.416], [0.416, 0.834, 0.834], [0.584, 0.166, 0.166], [0.584, 0.166, 0.584], [0.584, 0.584, 0.166], [0.834, 0.416, 0.416], [0.834, 0.416, 0.834], [0.834, 0.834, 0.416], [0.875, 0.875, 0.875]],
  "magnetic_moment_mub_per_cell": 0.0,
  "e_form_raw_ev_per_atom": -2.76
}

---

(2)
{
  "formula": "P2PtAu",
  "functional": "meta-GGA SCAN",
  "state": "PBEsol geometry",
  "cell": [[5.946, 0.000, 0.000], [0.000, 4.011, 0.000], [-0.585, 0.000, 6.519]],
  "species": ["P", "P", "P", "P", "Pt", "Pt", "Au", "Au"],
  "fractional_positions": [[0.124, 0.000, 0.344], [0.376, 0.500, 0.656], [0.624, 0.500, 0.344], [0.876, 0.000, 0.656], [0.000, 0.500, 0.500], [0.500, 0.000, 0.500], [0.000, 0.000, 0.000], [0.500, 0.500, 0.000]],
  "delta_e_f_ev_per_atom": -0.310,
  "magnetic_moment_mub_per_cell": 0.0,
  "de_polymorph_ev_per_atom": 0.0000
}

---

(3)
{
  "formula": "Rb2ZnO2",
  "functional": "meta-GGA SCAN",
  "state": "PBEsol geometry",
  "cell": [[9.530, 0.000, 0.000], [0.000, 6.283, 0.000], [-7.761, 0.000, 13.870]],
  "species": ["Rb", "Rb", "Rb", "Rb", "Rb", "Rb", "Rb", "Rb", "Rb", "Rb", "Rb", "Rb", "Rb", "Rb", "Rb", "Rb", "Zn", "Zn", "Zn", "Zn", "Zn", "Zn", "Zn", "Zn", "O", "O", "O", "O", "O", "O", "O", "O", "O", "O", "O", "O", "O", "O", "O", "O"],
  "fractional_positions": [[0.065, 0.065, 0.120], [0.065, 0.435, 0.620], [0.179, 0.583, 0.260], [0.179, 0.917, 0.760], [0.357, 0.677, 0.528], [0.357, 0.823, 0.028], [0.418, 0.130, 0.663], [0.418, 0.370, 0.163], [0.582, 0.630, 0.837], [0.582, 0.870, 0.337], [0.643, 0.177, 0.972], [0.643, 0.323, 0.472], [0.821, 0.083, 0.240], [0.821, 0.417, 0.740], [0.935, 0.565, 0.380], [0.935, 0.935, 0.880], [0.087, 0.052, 0.460], [0.087, 0.448, 0.960], [0.259, 0.126, 0.370], [0.259, 0.374, 0.870], [0.741, 0.626, 0.130], [0.741, 0.874, 0.630], [0.913, 0.552, 0.040], [0.913, 0.948, 0.540], [0.117, 0.605, 0.858], [0.117, 0.895, 0.358], [0.136, 0.634, 0.073], [0.136, 0.866, 0.573], [0.243, 0.221, 0.972], [0.243, 0.279, 0.472], [0.359, 0.193, 0.299], [0.359, 0.307, 0.799], [0.641, 0.693, 0.201], [0.641, 0.807, 0.701], [0.757, 0.721, 0.528], [0.757, 0.779, 0.028], [0.864, 0.134, 0.427], [0.864, 0.366, 0.927], [0.883, 0.105, 0.642], [0.883, 0.395, 0.142]],
  "magnetic_moment_mub_per_cell": 0.0,
  "e_form_raw_ev_per_atom": -1.44
}

---

Number 1: N(E_F) 0.0 states/eV/f.u.. Number 2: N(E_F) 0.9 states/eV/f.u.. Number 3: N(E_F) 0.0 states/eV/f.u..